Bi6TeO12 (GGA-PBE, optimized geometry); calculated density = 8.7 Mg/m³; space-group type = R-3; total moment = 0.0 μB/f.u.; E_form (uncorrected) = -23.05 eV/f.u.; DOS at the Fermi energy = 0.0 states/eV/f.u.
1.0
-0.886 3.252 -5.924
4.205 -4.982 -1.989
-5.864 -3.456 0.354
O Bi Te
12 6 1
Direct
0.566 0.186 0.434
0.978 0.287 0.077
0.434 0.566 0.186
0.713 0.923 0.022
0.923 0.022 0.713
0.814 0.566 0.434
0.186 0.434 0.566
0.566 0.434 0.814
0.434 0.814 0.566
0.287 0.077 0.978
0.077 0.978 0.287
0.022 0.713 0.923
0.851 0.409 0.697
0.697 0.851 0.409
0.591 0.303 0.149
0.409 0.697 0.851
0.149 0.591 0.303
0.303 0.149 0.591
0.000 0.000 0.000

=====

Ti2NbIrN (GGA-PBE, optimized geometry); calculated density = 9.3 Mg/m³; space-group type = P4/mmm; total moment = 0.0 μB/f.u.; E_form (uncorrected) = -4.61 eV/f.u.; DOS at the Fermi energy = 5.3 states/eV/f.u.
1.0
4.072 0.000 0.000
0.000 4.072 0.000
0.000 0.000 4.269
Ti N Nb Ir
2 1 1 1
Direct
0.000 0.500 0.000
0.500 0.000 0.000
0.000 0.000 0.000
0.000 0.000 0.500
0.500 0.500 0.500

=====

La3PI3 (GGA-PBE, optimized geometry); calculated density = 5.6 Mg/m³; space-group type = I4_132; total moment = 0.0 μB/f.u.; E_form (uncorrected) = -10.42 eV/f.u.; excess energy over the best structure of this formula in the dataset = 0 meV per atom; DOS at the Fermi energy = 3.3 states/eV/f.u.
1.0
-9.357 -3.012 4.632
8.083 -6.181 3.812
2.003 10.423 2.328
La P I
12 4 12
Direct
0.482 0.232 0.463
0.463 0.482 0.232
0.037 0.268 0.018
0.232 0.268 0.750
0.268 0.750 0.232
0.232 0.463 0.482
0.482 0.750 0.018
0.268 0.018 0.037
0.750 0.232 0.268
0.018 0.482 0.750
0.750 0.018 0.482
0.018 0.037 0.268
0.000 0.250 0.500
0.250 0.500 0.000
0.500 0.000 0.250
0.250 0.250 0.250
0.759 0.519 0.509
0.250 0.759 0.741
0.509 0.759 0.519
0.981 0.741 0.991
0.759 0.741 0.250
0.509 0.250 0.991
0.991 0.509 0.250
0.991 0.981 0.741
0.741 0.991 0.981
0.519 0.509 0.759
0.741 0.250 0.759
0.250 0.991 0.509

=====

Ca2CuBPb (GGA-PBE, optimized geometry); calculated density = 3.7 Mg/m³; energy of formation from the pure elements = 0.88 eV/atom; space-group type = P4/mmm; total moment = 0.0 μB/f.u.; DOS at the Fermi energy = 3.8 states/eV/f.u.
1.0
5.988 0.000 0.000
0.000 4.503 0.000
0.000 0.000 5.988
Ca Pb Cu B
2 1 1 1
Direct
0.000 0.000 0.500
0.500 0.000 0.000
0.000 0.000 0.000
0.500 0.500 0.500
0.000 0.500 0.000

=====

LaTmHgRu (GGA-PBE, optimized geometry); calculated density = 10.6 Mg/m³; energy of formation from the pure elements = -0.42 eV/atom; space-group type = P4mm; total moment = 0.0 μB/f.u.; excess energy over the best structure of this formula in the dataset = 0 meV per atom; DOS at the Fermi energy = 3.9 states/eV/f.u.
1.0
3.512 0.000 0.000
0.000 3.512 0.000
0.000 0.000 7.745
Tm Hg La Ru
1 1 1 1
Direct
0.500 0.500 0.349
0.000 0.000 0.097
0.500 0.500 0.789
0.000 0.000 0.550

=====

La2HgGe4Pt3 (GGA-PBE, optimized geometry); calculated density = 10.9 Mg/m³; energy of formation from the pure elements = -0.82 eV/atom; space-group type = P-4m2; total moment = 0.0 μB/f.u.; DOS at the Fermi energy = 4.5 states/eV/f.u.
1.0
4.457 0.000 0.000
0.000 4.457 0.000
0.000 0.000 10.363
Pt Hg Ge La
3 1 4 2
Direct
0.000 0.000 0.500
0.000 0.500 0.116
0.500 0.000 0.884
0.500 0.500 0.500
0.500 0.500 0.000
0.000 0.000 0.000
0.000 0.500 0.355
0.500 0.000 0.645
0.500 0.000 0.245
0.000 0.500 0.755